Entry from Alexandria: NaCu2AsPd after structural relaxation (PBE-GGA).

Calculated values
DOS(E_F) in states/eV/atom: 0.846
Size of the total moment in μB/f.u.: 0.00
Final energy in eV per cell: -15.5
Formation enthalpy at 0 K in eV per formula unit: 3.85

Cell: 4.727 4.727 4.871 Å, 90.00 90.00 90.00°
Space group P4/mmm (No. 123)
Unique sites:
1 Na 0.000 0.000 0.000
2 Cu 0.000 0.500 0.500
3 As 0.500 0.500 0.000
4 Pd 0.000 0.000 0.500



Entry from Alexandria: ZrAsCl2 after structural relaxation (PBE-GGA).

Calculated values
DOS(E_F) in states/eV/atom: 0.453
Size of the total moment in μB/f.u.: 1.00
Final energy in eV per cell: -79.4
Formation energy (no corrections) in eV/atom: -0.741
Relative energy among the computed polymorphs in meV per atom: 325

Cell: 9.265 9.265 5.266 Å, 90.00 90.00 90.00°
Space group I-42d (No. 122)
Unique sites:
1 Zr 0.000 0.000 0.000
2 As 0.000 0.000 0.500
3 Cl 0.106 0.250 0.125